--- 1 ---
The following is a SCAN calculation of a crystal of SrCaO2 relaxed with PBEsol, from Alexandria.

Results
ρ = 3435 kg/m3
Total magnetization = 0.0 μB per formula unit

Cell: 5.3925 5.3925 6.5368 Å, 114.36 114.36 90.00°
Fractional coordinates of all 8 atoms:
O 0.6250 0.6022 0.7500
O 0.8522 0.3750 0.2500
O 0.1250 0.1478 0.7500
O 0.3978 0.8750 0.2500
Sr 0.2500 0.7500 0.5000
Sr 0.0000 0.0000 0.0000
Ca 0.7500 0.2500 0.5000
Ca 0.5000 0.5000 0.0000



--- 2 ---
The following is a SCAN calculation of a crystal of SrCaO2 relaxed with PBEsol, from Alexandria.

Results
ρ = 4312 kg/m3
Total magnetization = 0.0 μB per formula unit

Cell: 3.5175 3.5175 4.9702 Å, 90.00 90.00 90.00°
Fractional coordinates of all 4 atoms:
O 0.5000 0.5000 0.5000
O 0.0000 0.0000 0.0000
Ca 0.0000 0.0000 0.5000
Sr 0.5000 0.5000 0.0000



Stability ranking, top entry: 2; the second entry is 17.9 kJ/mol of atoms less favorable.



--- 1 ---
The following is a SCAN calculation of a crystal of Ca2Ti3O8 relaxed with PBEsol, from Alexandria.

Results
ρ = 3555 kg/m3
Total magnetization = 0.0 μB per formula unit

Cell: 6.0254 6.0254 10.4527 Å, 90.00 90.00 120.00°
Fractional coordinates of all 26 atoms:
O 0.6877 0.8439 0.8454
O 0.9543 0.4771 0.6498
O 0.0457 0.5229 0.1498
O 0.8439 0.6877 0.3454
O 0.4771 0.9543 0.1498
O 0.5229 0.0457 0.6498
O 0.0000 0.0000 0.1553
O 0.5229 0.4771 0.6498
O 0.1561 0.3123 0.8454
O 0.1561 0.8439 0.8454
O 0.4771 0.5229 0.1498
O 0.0000 0.0000 0.6553
O 0.3333 0.6667 0.3555
O 0.6667 0.3333 0.8555
O 0.8439 0.1561 0.3454
O 0.3123 0.1561 0.3454
Ca 0.6667 0.3333 0.0702
Ca 0.6667 0.3333 0.4760
Ca 0.3333 0.6667 0.9760
Ca 0.3333 0.6667 0.5702
Ti 0.1630 0.3260 0.2546
Ti 0.3260 0.1630 0.7546
Ti 0.6740 0.8370 0.2546
Ti 0.8370 0.1630 0.7546
Ti 0.1630 0.8370 0.2546
Ti 0.8370 0.6740 0.7546



--- 2 ---
The following is a SCAN calculation of a crystal of Ca2Ti3O8 relaxed with PBEsol, from Alexandria.

Results
ρ = 3686 kg/m3
Total magnetization = 0.0 μB per formula unit

Cell: 5.0365 6.0554 6.3179 Å, 118.63 107.87 90.00°
Fractional coordinates of all 13 atoms:
Ti 0.0000 0.2658 0.0000
Ti 0.5000 0.0000 0.0000
Ti 0.0000 0.7342 0.0000
O 0.0491 0.3960 0.7920
O 0.3942 0.8843 0.2091
O 0.3942 0.3249 0.2091
O 0.9509 0.6040 0.2080
O 0.6058 0.6751 0.7909
O 0.6058 0.1157 0.7909
O 0.9063 0.1000 0.2000
O 0.0937 0.9000 0.8000
Ca 0.3386 0.2742 0.5483
Ca 0.6614 0.7258 0.4517



Stability ranking, top entry: 2; the second entry is 10.5 kJ/mol of atoms less favorable.



--- 1 ---
The following is a SCAN calculation of a crystal of Ca2V3O8 relaxed with PBEsol, from Alexandria.

Results
ρ = 3879 kg/m3
Total magnetization = 3.0 μB per formula unit

Cell: 5.7971 5.7971 10.6183 Å, 90.00 90.00 120.00°
Last column: magnetic moment on the atom in μB.
Fractional coordinates of all 26 atoms:
V 0.1531 0.3116 0.2471  1.00
V 0.3116 0.1586 0.7471  1.00
V 0.1586 0.8469 0.2471  1.00
V 0.6884 0.8414 0.2471  1.00
V 0.8469 0.6884 0.7471  1.00
V 0.8414 0.1531 0.7471  1.00
O 0.4820 0.5185 0.3443  -0.02
O 0.1557 0.3113 0.6488  -0.04
O 0.5185 0.0364 0.8443  -0.02
O 0.0000 0.0000 0.8575  0.01
O 0.8444 0.1557 0.1488  -0.04
O 0.6887 0.8444 0.6488  -0.04
O 0.3333 0.6667 0.1536  0.01
O 0.4815 0.9636 0.3443  -0.02
O 0.0364 0.5180 0.3443  -0.02
O 0.6667 0.3333 0.6536  0.01
O 0.0000 0.0000 0.3575  0.01
O 0.5180 0.4815 0.8443  -0.02
O 0.1556 0.8443 0.6488  -0.04
O 0.8443 0.6887 0.1488  -0.04
O 0.9636 0.4820 0.8443  -0.02
O 0.3113 0.1556 0.1488  -0.04
Ca 0.6667 0.3333 0.4459  0.00
Ca 0.6667 0.3333 0.0154  0.01
Ca 0.3333 0.6667 0.5154  0.01
Ca 0.3333 0.6667 0.9459  0.00



--- 2 ---
The following is a SCAN calculation of a crystal of Ca2V3O8 relaxed with PBEsol, from Alexandria.

Results
ρ = 3955 kg/m3
Total magnetization = 3.0 μB per formula unit

Cell: 4.9255 5.8976 6.3038 Å, 117.89 108.07 90.00°
Last column: magnetic moment on the atom in μB.
Fractional coordinates of all 13 atoms:
O 0.6071 0.6748 0.7952  -0.01
O 0.3929 0.3252 0.2048  -0.01
O 0.9045 0.0961 0.1921  -0.03
O 0.9559 0.6085 0.2169  -0.01
O 0.6071 0.1204 0.7952  -0.01
O 0.3929 0.8796 0.2048  -0.01
O 0.0441 0.3915 0.7831  -0.01
O 0.0955 0.9039 0.8079  -0.03
Ca 0.6679 0.7306 0.4612  0.01
Ca 0.3321 0.2694 0.5388  0.01
V 0.5000 0.0000 0.0000  0.98
V 0.0000 0.7261 0.0000  1.01
V 0.0000 0.2739 0.0000  1.01



Stability ranking, top entry: 2; the second entry is 10.7 kJ/mol of atoms less favorable.



--- 1 ---
The following is a SCAN calculation of a crystal of CaV4O10 relaxed with PBEsol, from Alexandria.

Results
ρ = 2992 kg/m3
Total magnetization = 2.0 μB per formula unit

Cell: 3.6408 5.7844 11.2112 Å, 90.00 90.00 108.34°
Last column: magnetic moment on the atom in μB.
Fractional coordinates of all 15 atoms:
V 0.7925 0.5850 0.8506  0.32
V 0.2024 0.4048 0.6539  0.79
V 0.7925 0.5850 0.1494  0.32
V 0.2024 0.4048 0.3461  0.79
O 0.2452 0.4904 0.8172  -0.01
O 0.0561 0.1122 0.6309  -0.07
O 0.2820 0.5640 0.5000  0.02
O 0.7400 0.4801 0.0000  -0.06
O 0.9361 0.8722 0.8601  -0.04
O 0.2452 0.4904 0.1828  -0.01
O 0.7556 0.5111 0.6706  0.00
O 0.0561 0.1122 0.3691  -0.07
O 0.9361 0.8722 0.1399  -0.04
O 0.7556 0.5111 0.3294  0.00
Ca 0.8978 0.7955 0.5000  0.00



--- 2 ---
The following is a SCAN calculation of a crystal of CaV4O10 relaxed with PBEsol, from Alexandria.

Results
ρ = 3586 kg/m3
Total magnetization = 1.0 μB per formula unit

Cell: 3.6071 4.5834 11.3122 Å, 90.00 90.00 90.00°
Last column: magnetic moment on the atom in μB.
Fractional coordinates of all 15 atoms:
O 0.5000 0.4975 0.1846  -0.01
O 0.5000 0.0260 0.3728  0.00
O 0.5000 0.0260 0.6272  0.00
O 0.0000 0.4969 0.3305  0.00
O 0.5000 0.4975 0.8154  -0.01
O 0.0000 0.5328 0.0000  -0.09
O 0.0000 0.4969 0.6695  0.00
O 0.0000 0.9637 0.1587  -0.06
O 0.5000 0.5123 0.5000  -0.01
O 0.0000 0.9637 0.8413  -0.06
V 0.0000 0.6162 0.8481  0.51
V 0.5000 0.3809 0.6544  0.09
V 0.0000 0.6162 0.1519  0.51
V 0.5000 0.3809 0.3456  0.09
Ca 0.0000 0.8438 0.5000  0.00



Stability ranking, top entry: 2; the second entry is 4.4 kJ/mol of atoms less favorable.



--- 1 ---
The following is a SCAN calculation of a crystal of CaV4O8 relaxed with PBEsol, from Alexandria.

Results
ρ = 4546 kg/m3
Total magnetization = 6.0 μB per formula unit

Cell: 2.9117 6.6872 7.2940 Å, 88.01 78.49 77.43°
Last column: magnetic moment on the atom in μB.
Fractional coordinates of all 13 atoms:
V 0.3377 0.4948 0.8298  1.67
V 0.6444 0.5457 0.1655  1.54
V 0.1538 0.2150 0.4775  1.34
V 0.8255 0.8240 0.5250  1.36
O 0.4558 0.7103 0.3781  -0.08
O 0.1922 0.9791 0.6365  -0.02
O 0.5303 0.3284 0.6109  -0.06
O 0.8051 0.0578 0.3320  0.02
O 0.8570 0.3271 0.9588  -0.01
O 0.1704 0.3882 0.2711  -0.04
O 0.1236 0.7100 0.0428  -0.01
O 0.8197 0.6420 0.7186  -0.07
Ca 0.4393 0.0452 0.0762  0.01



--- 2 ---
The following is a SCAN calculation of a crystal of CaV4O8 relaxed with PBEsol, from Alexandria.

Results
ρ = 4006 kg/m3
Total magnetization = 2.7 μB per formula unit

Cell: 5.6066 5.6066 6.5224 Å, 64.55 64.55 60.00°
Last column: magnetic moment on the atom in μB.
Fractional coordinates of all 13 atoms:
O 0.2693 0.7670 0.1966  0.01
O 0.2330 0.7307 0.8034  0.01
O 0.7283 0.7283 0.8152  -0.03
O 0.7307 0.2330 0.8034  0.01
O 0.7670 0.7670 0.1966  0.01
O 0.2717 0.2717 0.1848  -0.03
O 0.7670 0.2693 0.1966  0.01
O 0.2330 0.2330 0.8034  0.01
V 0.0000 0.0000 0.0000  -1.21
V 0.0000 0.5000 0.0000  1.25
V 0.5000 0.0000 0.0000  1.25
V 0.5000 0.5000 0.0000  1.25
Ca 0.5000 0.5000 0.5000  0.01



Stability ranking, top entry: 1; the second entry is 2.0 kJ/mol of atoms less favorable.



--- 1 ---
The following is a SCAN calculation of a crystal of Ca3W2O9 relaxed with PBEsol, from Alexandria.

Results
ρ = 4112 kg/m3
Total magnetization = 0.0 μB per formula unit

Cell: 7.7037 8.5557 15.4863 Å, 90.00 90.00 90.00°
Fractional coordinates of all 56 atoms:
W 0.7500 0.2591 0.6684
W 0.7500 0.7591 0.8316
W 0.2500 0.7409 0.3316
W 0.2500 0.8545 0.6030
W 0.2500 0.2409 0.1684
W 0.7500 0.1455 0.3970
W 0.7500 0.6455 0.1030
W 0.2500 0.3545 0.8970
O 0.7500 0.0698 0.6209
O 0.7500 0.4454 0.0665
O 0.5546 0.3577 0.6335
O 0.5587 0.7466 0.0678
O 0.2500 0.8602 0.7174
O 0.5587 0.2466 0.4322
O 0.0546 0.1423 0.1335
O 0.9413 0.2466 0.4322
O 0.4413 0.7534 0.5678
O 0.2500 0.8874 0.9847
O 0.7500 0.6126 0.4847
O 0.7500 0.9454 0.4335
O 0.7500 0.7386 0.7176
O 0.2500 0.7614 0.2176
O 0.7500 0.1126 0.0153
O 0.2500 0.3874 0.5153
O 0.0587 0.7534 0.5678
O 0.0546 0.6423 0.3665
O 0.7500 0.1398 0.2826
O 0.9454 0.3577 0.6335
O 0.4454 0.1423 0.1335
O 0.7500 0.6398 0.2174
O 0.2500 0.2614 0.2824
O 0.9413 0.7466 0.0678
O 0.7500 0.2386 0.7824
O 0.4454 0.6423 0.3665
O 0.2500 0.9302 0.3791
O 0.2500 0.0546 0.5665
O 0.2500 0.4302 0.1209
O 0.5546 0.8577 0.8665
O 0.2500 0.3602 0.7826
O 0.0587 0.2534 0.9322
O 0.9454 0.8577 0.8665
O 0.4413 0.2534 0.9322
O 0.7500 0.5698 0.8791
O 0.2500 0.5546 0.9335
Ca 0.2500 0.6866 0.0748
Ca 0.5000 0.0000 0.0000
Ca 0.7500 0.3134 0.9252
Ca 0.7500 0.7125 0.3588
Ca 0.2500 0.1866 0.4252
Ca 0.0000 0.5000 0.5000
Ca 0.7500 0.2125 0.1412
Ca 0.2500 0.7875 0.8588
Ca 0.0000 0.0000 0.0000
Ca 0.2500 0.2875 0.6412
Ca 0.5000 0.5000 0.5000
Ca 0.7500 0.8134 0.5748



--- 2 ---
The following is a SCAN calculation of a crystal of Ca3W2O9 relaxed with PBEsol, from Alexandria.

Results
ρ = 3878 kg/m3
Total magnetization = 0.0 μB per formula unit

Cell: 7.6518 8.5260 9.3244 Å, 117.17 90.00 90.00°
Fractional coordinates of all 28 atoms:
O 0.7500 0.3734 0.7748
O 0.5567 0.2945 0.2123
O 0.2500 0.9698 0.5009
O 0.0568 0.9145 0.2105
O 0.7500 0.8725 0.9991
O 0.5568 0.0855 0.7895
O 0.4432 0.9145 0.2105
O 0.0567 0.7055 0.7877
O 0.9433 0.2945 0.2123
O 0.9432 0.0855 0.7895
O 0.7500 0.0302 0.4991
O 0.2500 0.1275 0.0009
O 0.7500 0.5906 0.2140
O 0.2500 0.6266 0.2252
O 0.2500 0.4094 0.7860
O 0.4433 0.7055 0.7877
O 0.7500 0.5391 0.4986
O 0.2500 0.4609 0.5014
Ca 0.2500 0.3669 0.2309
Ca 0.5000 0.0000 0.0000
Ca 0.2500 0.1404 0.7723
Ca 0.0000 0.0000 0.0000
Ca 0.7500 0.8596 0.2277
Ca 0.7500 0.6331 0.7691
W 0.7500 0.1428 0.7127
W 0.7500 0.4293 0.2849
W 0.2500 0.8572 0.2873
W 0.2500 0.5707 0.7151



Stability ranking, top entry: 1; the second entry is 1.0 kJ/mol of atoms less favorable.



--- 1 ---
The following is a SCAN calculation of a crystal of CaReOs2 relaxed with PBEsol, from Alexandria.

Results
ρ = 16091 kg/m3
Total magnetization = 0.0 μB per formula unit

Cell: 2.7070 5.2327 5.2327 Å, 115.05 101.18 101.18°
Fractional coordinates of all 4 atoms:
Ca 0.5000 0.5000 0.5000
Os 0.0000 0.5000 0.0000
Os 0.0000 0.0000 0.5000
Re 0.5000 0.0000 0.0000



--- 2 ---
The following is a SCAN calculation of a crystal of CaReOs2 relaxed with PBEsol, from Alexandria.

Results
ρ = 16108 kg/m3
Total magnetization = 0.0 μB per formula unit

Cell: 4.4557 4.4557 4.4557 Å, 60.00 60.00 60.00°
Fractional coordinates of all 4 atoms:
Os 0.2500 0.2500 0.2500
Os 0.7500 0.7500 0.7500
Re 0.0000 0.0000 0.0000
Ca 0.5000 0.5000 0.5000



Stability ranking, top entry: 2; the second entry is 9.2 kJ/mol of atoms less favorable.



--- 1 ---
The following is a SCAN calculation of a crystal of CaOsRh2 relaxed with PBEsol, from Alexandria.

Results
ρ = 11388 kg/m3
Total magnetization = 0.0 μB per formula unit

Cell: 2.7677 4.5362 5.7199 Å, 113.36 104.00 90.00°
Fractional coordinates of all 4 atoms:
Rh 0.2758 0.7758 0.5517
Rh 0.0045 0.0045 0.0089
Ca 0.5010 0.5010 0.0020
Os 0.7187 0.2187 0.4374



--- 2 ---
The following is a SCAN calculation of a crystal of CaOsRh2 relaxed with PBEsol, from Alexandria.

Results
ρ = 11649 kg/m3
Total magnetization = 0.0 μB per formula unit

Cell: 4.4466 4.4466 4.4466 Å, 60.00 60.00 60.00°
Fractional coordinates of all 4 atoms:
Ca 0.5000 0.5000 0.5000
Rh 0.2500 0.2500 0.2500
Rh 0.0000 0.0000 0.0000
Os 0.7500 0.7500 0.7500



Stability ranking, top entry: 1; the second entry is 33.0 kJ/mol of atoms less favorable.